## Fe2C (meta-GGA SCAN)

Data for a crystal of Fe2C relaxed with PBEsol.

POSCAR file:
```
Fe2C
1.0
4.2438 0.0000 0.0000
0.0000 4.5952 0.0000
0.0000 0.0000 2.7841
Fe C
4 2
direct
0.2481 0.1530 0.0000
0.2519 0.6530 0.5000
0.7481 0.3470 0.5000
0.7519 0.8470 0.0000
0.0000 0.5000 0.0000
0.5000 0.0000 0.5000
```

Values from the calculation:
E: -46.0 eV/f.u.
total moment: 3.6 μB per formula unit
DOS(E_F): 1.83 states/eV/f.u.
V: 9.049 Å³/atom



## FeC3 (meta-GGA SCAN)

Data for a crystal of FeC3 relaxed with PBEsol.

POSCAR file:
```
FeC3
1.0
3.7996 0.0000 0.0000
0.0000 3.7996 0.0000
0.0000 0.0000 3.7996
Fe C
2 6
direct
0.0000 0.0000 0.0000
0.5000 0.5000 0.5000
0.0000 0.2500 0.5000
0.0000 0.7500 0.5000
0.2500 0.5000 0.0000
0.5000 0.0000 0.2500
0.5000 0.0000 0.7500
0.7500 0.5000 0.0000
```

Values from the calculation:
E: -37.7 eV/f.u.
total moment: 0.0 μB per formula unit
DOS(E_F): 2.80 states/eV/f.u.
V: 6.857 Å³/atom
energy above the lowest structure with this stoichiometry: 1978.4 meV/atom



## FeC2 (meta-GGA SCAN)

Data for a crystal of FeC2 relaxed with PBEsol.

POSCAR file:
```
FeC2
1.0
0.0000 2.8420 2.8420
2.8420 0.0000 2.8420
2.8420 2.8420 0.0000
Fe C
2 4
direct
0.1250 0.1250 0.1250
0.8750 0.8750 0.8750
0.0000 0.5000 0.5000
0.5000 0.0000 0.5000
0.5000 0.5000 0.0000
0.5000 0.5000 0.5000
```

Values from the calculation:
E: -30.3 eV/f.u.
total moment: 2.7 μB per formula unit
DOS(E_F): 0.99 states/eV/f.u.
V: 7.652 Å³/atom
energy above the lowest structure with this stoichiometry: 1563.8 meV/atom



Number 1: formation energy 0.39 eV per formula unit. Number 2: formation energy 10.68 eV per formula unit. Number 3: formation energy 8.03 eV per formula unit.